18
Lattice="7.173 0.571 -0.304 2.513 6.743 -0.304 2.406 1.817 7.678" Properties=species:S:1:pos:R:3 comment="Nb5Ga3Pd, relaxed, DFT PBE" formation_energy_kj_per_mol_atoms=27.7 sg="C2/m (12)" pbc="T T T"
Nb 7.945 3.095 1.205
Nb 4.057 4.698 -0.304
Nb 7.379 5.572 -0.001
Nb 5.668 4.280 2.139
Nb 6.425 4.851 4.931
Nb 4.714 3.559 7.071
Nb 5.152 6.795 1.205
Nb 5.629 2.616 -0.304
Nb 4.147 6.036 5.865
Nb 6.941 2.336 5.865
Ga 8.540 6.448 5.283
Ga 7.705 5.818 2.795
Ga 0.000 0.000 0.000
Ga 1.203 0.908 3.839
Ga 3.553 2.683 1.787
Ga 4.388 3.313 4.275
Pd 2.673 2.019 5.340
Pd 9.419 7.112 1.730